Entry 1:
PaInAg4: relaxed, PBE.

Computed properties:
For the total energy, the calculation gives -3.83 eV per atom. The calculation puts the volume at 504.7 Å³/cell.

Cell lengths 7.962, 7.962, 7.962 Å; angles 90.00, 90.00, 90.00 degrees
Space group F-43m (No. 216)
Inequivalent atoms, fractional coordinates:
Pa  0.000  0.000  0.000 x4
In  0.250  0.250  0.750 x4
Ag  0.125  0.125  0.375 x16



Entry 2:
PaInAg: relaxed, PBE.

Computed properties:
For the relative energy among the computed polymorphs, the calculation gives 1.1 kJ/mol of atoms. For the total energy, the calculation gives -5.02 eV per atom. The calculation puts the volume at 68.8 Å³/cell.

Cell lengths 5.0271, 5.0271, 3.1414 Å; angles 90.00, 90.00, 120.00 degrees
Space group P-6m2 (No. 187)
Inequivalent atoms, fractional coordinates:
Pa  0.0000  0.0000  0.0000 x1
In  0.3333  0.6667  0.5000 x1
Ag  0.6667  0.3333  0.5000 x1



Entry 3:
PaInAg: relaxed, PBE.

Computed properties:
For the relative energy among the computed polymorphs, the calculation gives 0.0 kJ/mol of atoms. For the total energy, the calculation gives -5.03 eV per atom. The calculation puts the volume at 132.9 Å³/cell.

Cell lengths 3.112, 3.112, 13.721 Å; angles 90.00, 90.00, 90.00 degrees
Space group P4/nmm (No. 129, origin choice 2)
Inequivalent atoms, fractional coordinates:
Pa  0.250  0.250  0.092 x2
In  0.250  0.250  0.721 x2
Ag  0.250  0.250  0.429 x2



Entry 4:
PaInAg: relaxed, PBE.

Computed properties:
For the relative energy among the computed polymorphs, the calculation gives 6.3 kJ/mol of atoms. For the total energy, the calculation gives -4.97 eV per atom. The calculation puts the volume at 134.9 Å³/cell.

Cell lengths 3.162, 3.162, 13.494 Å; angles 90.00, 90.00, 90.00 degrees
Space group I4mm (No. 107)
Inequivalent atoms, fractional coordinates:
Pa  0.000  0.000  0.000 x2
In  0.000  0.000  0.318 x2
Ag  0.000  0.000  0.672 x2



Entry 5:
PaInAg: relaxed, PBE.

Computed properties:
For the relative energy among the computed polymorphs, the calculation gives 20.9 kJ/mol of atoms. For the total energy, the calculation gives -4.82 eV per atom. The calculation puts the volume at 315.1 Å³/cell.

Cell lengths 6.805, 6.805, 6.805 Å; angles 90.00, 90.00, 90.00 degrees
Space group F-43m (No. 216)
Inequivalent atoms, fractional coordinates:
Pa  0.000  0.000  0.000 x4
In  0.000  0.000  0.500 x4
Ag  0.250  0.250  0.750 x4



Entry 6:
PaInAgPd: relaxed, PBE.

Computed properties:
For the total energy, the calculation gives -5.32 eV per atom. The calculation puts the volume at 336.0 Å³/cell.

Cell lengths 6.952, 6.952, 6.952 Å; angles 90.00, 90.00, 90.00 degrees
Space group F-43m (No. 216)
Inequivalent atoms, fractional coordinates:
Pa  0.000  0.000  0.000 x4
In  0.000  0.000  0.500 x4
Ag  0.250  0.250  0.750 x4
Pd  0.250  0.250  0.250 x4



Entry 7:
PaInAgPt: relaxed, PBE.

Computed properties:
For the total energy, the calculation gives -5.68 eV per atom. The calculation puts the volume at 335.6 Å³/cell.

Cell lengths 6.950, 6.950, 6.950 Å; angles 90.00, 90.00, 90.00 degrees
Space group F-43m (No. 216)
Inequivalent atoms, fractional coordinates:
Pa  0.000  0.000  0.000 x4
In  0.000  0.000  0.500 x4
Ag  0.250  0.250  0.250 x4
Pt  0.250  0.250  0.750 x4



Entry 8:
PaInAgRh: relaxed, PBE.

Computed properties:
For the total energy, the calculation gives -5.83 eV per atom. The calculation puts the volume at 328.3 Å³/cell.

Cell lengths 6.899, 6.899, 6.899 Å; angles 90.00, 90.00, 90.00 degrees
Space group F-43m (No. 216)
Inequivalent atoms, fractional coordinates:
Pa  0.000  0.000  0.000 x4
In  0.000  0.000  0.500 x4
Ag  0.250  0.250  0.750 x4
Rh  0.250  0.250  0.250 x4



ΔE_f, respectively: 0.1143, 0.0065, -0.0047, 0.0601, 0.2123, -0.2529, -0.3978, -0.2252 eV per atom.